Material: CaNd2Tm
Method: DFT, PBE
State: optimized geometry

The structure belongs to space group R-3m (No. 166, hexagonal axes); the cell edges are 3.6466, 3.6466 and 36.4665 Å and the angles 90.00°, 90.00° and 120.00°. The distinct sites, in fractional coordinates, are Ca at (0.0000, 0.0000, 0.0000), Nd at (0.0000, 0.0000, 0.2447) and Tm at (0.0000, 0.0000, 0.5000).

The value obtained for the raw total energy is -3.966 eV/atom. The value obtained for the relative energy among the computed polymorphs is 0 meV/atom. For the energy of formation from the pure elements, the calculation gives 3.52 kJ per mole of atoms. The calculation puts the calculated volume at 420.0 Å³/cell.